Below is a relaxed structure of Ni2H4Rh, with properties calculated at the PBE-GGA level.

The calculation puts the raw total energy at -0.3378 Ry/atom. As for the space-group type: C2/m (12). Its density of states at the Fermi level is 2.0 states/eV per cell. The magnetization is 0.0 μB per cell. The relative energy among the computed polymorphs comes out at 0.024 eV/atom.

Lattice parameters (Å, degrees): 4.939 4.939 3.929 112.20 112.20 33.91
Atoms (fractional coordinates):
Ni  0.177  0.177  0.168
Ni  0.823  0.823  0.832
H  0.012  0.012  0.782
H  0.329  0.329  0.601
H  0.671  0.671  0.399
H  0.988  0.988  0.218
Rh  0.500  0.500  0.500